Compound: LiPuSc2Te4
Source: the Alexandria database
Functional: GGA-PBE
Structure: optimized geometry

Computed properties:
For the calculated total energy, the calculation gives -0.4649 Ry per atom. The formation energy from raw total energies comes out at -1.14 eV/atom. For the spin magnetization, the calculation gives 6.07 μB per formula unit.

Geometry as POSCAR:
```
LiPuSc2Te4
1.0
-2.2715 -1.3524 3.3009
-3.3585 -4.8975 -4.3177
6.1108 -3.1106 2.9308
Li Te Sc Pu
1 4 2 1
direct
0.5000 0.5000 0.0000 Li
0.5000 0.7377 0.7363 Te
0.5000 0.2623 0.2637 Te
0.0000 0.2540 0.7390 Te
0.0000 0.7460 0.2610 Te
0.5000 0.0000 0.5000 Sc
0.0000 0.5000 0.5000 Sc
0.0000 0.0000 0.0000 Pu
```